Record 1
DFT (meta-GGA SCAN) results for a crystal of CuHgRu relaxed with PBEsol.

energy of formation	0.91	eV/atom
Fermi-level density of states	8.92	states/eV/cell

Cell: 6.019 6.019 6.019 Å, 90.00 90.00 90.00°
Space group F-43m (No. 216)
Asymmetric unit:
Cu  0.000  0.000  0.000 [4 per cell]
Hg  0.000  0.000  0.500 [4 per cell]
Ru  0.250  0.250  0.250 [4 per cell]



Record 2
DFT (meta-GGA SCAN) results for a crystal of CuHgRu2 relaxed with PBEsol.

energy of formation	0.65	eV/atom
Fermi-level density of states	6.84	states/eV/cell

Cell: 2.790 4.621 9.189 Å, 90.00 90.00 90.00°
Space group Cmmm (No. 65)
Asymmetric unit:
Cu  0.000  0.000  0.000 [2 per cell]
Hg  0.000  0.000  0.500 [2 per cell]
Ru  0.000  0.500  0.230 [4 per cell]